[1]
First-principles (PBE) data for a relaxed structure of Nd2MgSn4Pd3, as listed in Alexandria.

```
Nd2MgSn4Pd3
1.0
-3.114 -2.196 2.280
3.078 -2.846 1.462
1.950 6.887 9.299
Pd Nd Mg Sn
3 2 1 4
Cartesian
0.975 3.444 4.649 Pd
0.135 4.878 9.209 Pd
1.797 -0.512 1.961 Pd
-1.073 0.611 3.447 Nd
3.005 3.755 7.723 Nd
0.957 0.922 6.520 Mg
-0.300 3.342 7.135 Sn
-0.018 -2.521 1.871 Sn
0.000 0.000 0.000 Sn
2.232 1.024 4.035 Sn
```

## Properties
Energy of formation = -7.077 eV/f.u.


[2]
First-principles (PBE) data for a relaxed structure of Tb3Tl2Ga, as listed in Alexandria.

```
Tb3Tl2Ga
1.0
-0.284 0.089 -3.669
-2.633 -4.644 0.091
-13.823 7.861 1.260
Tb Tl Ga
6 4 2
Cartesian
-10.526 2.879 -0.963 Tb
-1.458 -2.278 -1.787 Tb
-6.213 0.426 -1.356 Tb
-7.054 3.975 -1.206 Tb
-2.298 1.271 -1.637 Tb
-11.809 6.679 -0.770 Tb
-3.975 -0.882 -3.406 Tl
-4.537 2.580 0.412 Tl
-13.048 4.277 -2.578 Tl
-9.287 5.281 0.846 Tl
0.000 0.000 -0.001 Ga
-8.512 1.697 -2.993 Ga
```

## Properties
Distance to the lowest polymorph of the same formula = 0.0102 eV per atom
Energy of formation = -2.502 eV/f.u.


[3]
First-principles (PBE) data for a relaxed structure of TcNiIr2, as listed in Alexandria.

```
TcNiIr2
1.0
-0.070 -0.263 -2.661
0.946 -2.037 1.452
-8.292 -3.453 0.560
Ir Ni Tc
2 1 1
Cartesian
-4.089 -1.703 0.276 Ir
-0.056 -0.024 0.004 Ir
-1.635 -2.013 -0.465 Ni
-5.781 -3.740 -0.185 Tc
```

## Properties
Distance to the lowest polymorph of the same formula = 0.3871 eV per atom
Energy of formation = 1.062 eV/f.u.


[4]
First-principles (PBE) data for a relaxed structure of Pr4TlGaI2, as listed in Alexandria.

```
Pr4TlGaI2
1.0
-0.766 -3.834 2.179
6.628 1.041 4.163
-6.032 3.433 3.919
I Pr Ga Tl
2 4 1 1
Cartesian
0.298 2.237 4.041 I
-3.399 -0.201 3.049 I
-0.107 1.520 7.235 Pr
-0.064 -0.880 3.026 Pr
-2.931 2.976 4.206 Pr
3.527 1.498 3.876 Pr
2.931 -1.396 3.171 Ga
0.000 0.000 0.000 Tl
```

## Properties
VASP energy = -4.15 eV/atom


[5]
First-principles (PBE) data for a relaxed structure of Tb2Se2S, as listed in Alexandria.

```
Tb2Se2S
1.0
-0.633 3.713 4.355
1.073 -6.736 2.093
7.320 3.695 -2.085
S Tb Se
2 4 4
Cartesian
7.027 -0.133 1.136 S
0.704 0.802 3.226 S
5.425 4.597 0.677 Tb
2.306 -3.929 3.686 Tb
3.122 0.167 4.119 Tb
4.609 0.501 0.244 Tb
3.622 -1.701 1.978 Se
2.312 -1.940 5.798 Se
5.419 2.608 -1.435 Se
4.109 2.369 2.385 Se
```

## Properties
Distance to the lowest polymorph of the same formula = 0.0000 eV per atom


[6]
First-principles (PBE) data for a relaxed structure of ReAgAs, as listed in Alexandria.

```
ReAgAs
1.0
-0.310 3.442 -2.419
-0.776 -0.386 -4.128
-3.747 1.152 -1.559
As Ag Re
1 1 1
Cartesian
-3.625 3.156 -6.079 As
-2.417 2.104 -4.053 Ag
0.000 0.000 0.000 Re
```

## Properties
Distance to the lowest polymorph of the same formula = 0.3619 eV per atom
Energy of formation = 2.165 eV/f.u.


[7]
First-principles (PBE) data for a relaxed structure of Na2Sr6In, as listed in Alexandria.

```
Na2Sr6In
1.0
9.582 -0.030 3.451
-5.052 8.318 3.004
-0.013 -0.030 10.185
Sr Na In
12 4 2
Cartesian
2.772 0.547 3.950 Sr
0.163 4.817 10.436 Sr
5.153 6.116 13.704 Sr
1.745 7.711 12.690 Sr
2.965 2.113 10.586 Sr
6.597 2.038 13.030 Sr
4.354 3.441 6.204 Sr
0.428 2.067 7.183 Sr
-2.080 6.220 3.611 Sr
4.090 6.191 9.457 Sr
-0.635 2.142 2.936 Sr
1.553 6.145 6.054 Sr
-1.901 5.299 7.494 Na
3.491 -0.030 7.726 Na
6.418 2.959 9.146 Na
6.079 -0.030 5.910 Na
0.000 0.000 0.000 In
2.265 4.144 3.228 In
```

## Properties
Energy of formation = -0.511 eV/f.u.


[8]
First-principles (PBE) data for a relaxed structure of Zr2BPO, as listed in Alexandria.

```
Zr2BPO
1.0
-3.151 -0.390 3.285
-1.689 -2.087 -1.868
2.319 -3.497 1.809
B O Zr P
1 1 2 1
Cartesian
-0.845 -1.043 -0.934 B
0.000 0.000 0.000 O
-1.576 -0.195 1.643 Zr
1.159 -1.748 0.904 Zr
-1.261 -2.987 1.613 P
```

## Properties
VASP energy = -7.54 eV/atom


| no. | V (Å³ per atom) |
| --- | --- |
| 1 | 23.14 |
| 2 | 26.12 |
| 3 | 14.17 |
| 4 | 33.37 |
| 5 | 29.32 |
| 6 | 17.69 |
| 7 | 45.11 |
| 8 | 13.65 |